Compound: Ca2IrPt
Source: Alexandria
Functional: GGA-PBE
Structure: optimized geometry

```
Ca2IrPt
1.0
-0.6505 -3.7752 -4.2778
1.7758 -4.7103 -2.7631
-2.7779 -3.7822 2.1149
Ca Ir Pt
2 1 1
direct
0.9739 0.9739 0.0626 Ca
0.7785 0.7785 0.6834 Ca
0.5311 0.5311 0.5350 Ir
0.2165 0.2165 0.2190 Pt
```

Properties
Its formation energy from the elements is -0.424 eV per atom. The total energy comes out at -20.602 eV per cell. The calculated density is 9.331 g/cm³. The total magnetization comes out at 0.0 μB per cell.